DFT (PBE-GGA) results for AlCu2As after structural relaxation.

Results
- Total magnetization: 0.00 Bohr magnetons per cell
- Electronic total energy: -4.104 eV/atom
- Mass density: 6.5 g cm⁻³
- Energy of formation: 0.04 eV per atom
- Energy relative to the lowest polymorph listed for this composition: 0.0434 eV per atom
- Space group: I4/mmm (139)

a b c (Å): 4.8205 4.8205 4.8205
angles (deg): 133.22 133.22 68.30
Element x y z (fractional)
Al  0.0000  0.0000  0.0000
Cu  0.2500  0.7500  0.5000
Cu  0.7500  0.2500  0.5000
As  0.5000  0.5000  0.0000